No. 1
Computed, not measured: a relaxed Li2YMn crystal at the PBE-GGA level of DFT.

a = 3.5468 Å, b = 3.5468 Å, c = 6.4998 Å
α = 90.00°, β = 90.00°, γ = 90.00°
Space group P4/mmm (No. 123)
One atom of each set of equivalent atoms:
Li 0.0000 0.0000 0.2000
Y 0.5000 0.5000 0.5000
Mn 0.5000 0.5000 0.0000

## Properties
- N(E_F) (states/eV per cell) = 4.38
- crystal system = tetragonal
- calculated formation energy (eV/atom) = 0.351
- energy relative to the lowest polymorph listed for this composition (kJ per mole of atoms) = 14.3

---

No. 2
Computed, not measured: a relaxed YAsRu2 crystal at the PBE-GGA level of DFT.

a = 3.2253 Å, b = 3.2253 Å, c = 6.5273 Å
α = 90.00°, β = 90.00°, γ = 90.00°
Space group P4/mmm (No. 123)
One atom of each set of equivalent atoms:
Y 0.0000 0.0000 0.0000
As 0.0000 0.0000 0.5000
Ru 0.5000 0.5000 0.2842

## Properties
- N(E_F) (states/eV per cell) = 1.36
- crystal system = tetragonal
- calculated formation energy (eV/atom) = -0.196

---

No. 3
Computed, not measured: a relaxed Li2LaEr crystal at the PBE-GGA level of DFT.

a = 3.7577 Å, b = 3.7577 Å, c = 7.6397 Å
α = 90.00°, β = 90.00°, γ = 90.00°
Space group P4/mmm (No. 123)
One atom of each set of equivalent atoms:
Li 0.0000 0.0000 0.2383
La 0.5000 0.5000 0.5000
Er 0.5000 0.5000 0.0000

## Properties
- N(E_F) (states/eV per cell) = 4.89
- crystal system = tetragonal
- calculated formation energy (eV/atom) = 0.152
- energy relative to the lowest polymorph listed for this composition (kJ per mole of atoms) = 0.0

---

No. 4
Computed, not measured: a relaxed LaMgBr3 crystal at the PBE-GGA level of DFT.

a = 5.2792 Å, b = 5.2792 Å, c = 5.2792 Å
α = 90.00°, β = 90.00°, γ = 90.00°
Space group Pm-3m (No. 221)
One atom of each set of equivalent atoms:
La 0.0000 0.0000 0.0000
Mg 0.5000 0.5000 0.5000
Br 0.0000 0.5000 0.5000

## Properties
- N(E_F) (states/eV per cell) = 8.47
- crystal system = cubic
- E_form (uncorrected) (kJ/mol of formula units) = -445
- energy relative to the lowest polymorph listed for this composition (kJ per mole of atoms) = 30.7

---

No. 5
Computed, not measured: a relaxed Tl2Pd2C crystal at the PBE-GGA level of DFT.

a = 5.7802 Å, b = 5.7802 Å, c = 5.9634 Å
α = 90.00°, β = 90.00°, γ = 90.00°
Space group P4/mbm (No. 127)
One atom of each set of equivalent atoms:
Tl 0.1871 0.3129 0.0000
Pd 0.2060 0.7060 0.5000
C 0.0000 0.0000 0.5000

## Properties
- N(E_F) (states/eV per cell) = 5.01
- crystal system = tetragonal
- calculated formation energy (eV/atom) = 0.504
- energy relative to the lowest polymorph listed for this composition (kJ per mole of atoms) = 0.0

---

No. 6
Computed, not measured: a relaxed Pr8Sb5As crystal at the PBE-GGA level of DFT.

a = 9.4857 Å, b = 9.4857 Å, c = 9.5854 Å
α = 90.00°, β = 90.00°, γ = 90.00°
Space group I-4 (No. 82)
One atom of each set of equivalent atoms:
Pr 0.0699 0.1780 0.1972
Pr 0.0703 0.3072 0.5514
Sb 0.0000 0.5000 0.2500
Sb 0.1208 0.2526 0.8761
As 0.0000 0.0000 0.5000

## Properties
- N(E_F) (states/eV per cell) = 27.84
- crystal system = tetragonal
- E_form (uncorrected) (kJ/mol of formula units) = -1475

---

No. 7
Computed, not measured: a relaxed TbCeNi2As2 crystal at the PBE-GGA level of DFT.

a = 4.0759 Å, b = 4.0759 Å, c = 7.8664 Å
α = 90.00°, β = 90.00°, γ = 120.00°
Space group P-3m1 (No. 164)
One atom of each set of equivalent atoms:
Tb 0.0000 0.0000 0.0000
Ce 0.0000 0.0000 0.5000
Ni 0.3333 0.6667 0.2615
As 0.3333 0.6667 0.7597

## Properties
- N(E_F) (states/eV per cell) = 5.32
- crystal system = trigonal
- calculated formation energy (eV/atom) = -1.047

---

Density, respectively: 3.20, 8.95, 4.93, 4.55, 10.56, 6.97, 8.31 Mg/m³.
Total magnetization, respectively: 0.86, 0.00, 0.00, 0.34, 0.00, 0.00, 0.12 μB per atom.
Calculated total energy, respectively: -18.06, -30.45, -12.71, -16.16, -43.64, -157.57, -37.71 eV for the cell shown.